# 1
Compound: PmVRu
Source: Alexandria via LeMat-Bulk
Functional: PBE
Structure: optimized geometry

POSCAR file:
```
PmVRu
1.0
-0.723 -3.149 -2.445
2.234 -0.527 -3.339
6.765 -6.572 3.107
Ru V Pm
2 2 2
direct
0.779 0.779 0.664
0.221 0.221 0.336
0.865 0.865 0.406
0.135 0.135 0.594
0.615 0.615 0.154
0.385 0.385 0.846
```

Results
Uncorrected energy = -45.9 eV per cell

***

# 2
Compound: Pm2Ru3W
Source: Alexandria via LeMat-Bulk
Functional: PBE
Structure: optimized geometry

POSCAR file:
```
Pm2Ru3W
1.0
5.740 0.000 0.000
-2.870 4.971 0.000
0.000 0.000 8.021
W Ru Pm
2 6 4
direct
0.000 0.000 0.500
0.000 0.000 0.000
0.832 0.663 0.750
0.337 0.168 0.750
0.168 0.337 0.250
0.663 0.832 0.250
0.168 0.832 0.250
0.832 0.168 0.750
0.333 0.667 0.939
0.667 0.333 0.061
0.667 0.333 0.439
0.333 0.667 0.561
```

Results
Uncorrected energy = -102.8 eV per cell

***

# 3
Compound: PmYRu
Source: Alexandria via LeMat-Bulk
Functional: PBE
Structure: optimized geometry

POSCAR file:
```
PmYRu
1.0
3.687 0.000 0.000
0.000 4.759 0.000
0.000 -2.379 4.121
Ru Y Pm
1 1 1
direct
0.343 0.333 0.667
0.602 0.667 0.333
0.055 0.000 0.000
```

Results
Uncorrected energy = -20.7 eV per cell
Energy relative to the lowest polymorph listed for this composition = 148 meV/atom

***

# 4
Compound: PmYRu2
Source: Alexandria via LeMat-Bulk
Functional: PBE
Structure: optimized geometry

POSCAR file:
```
PmYRu2
1.0
4.876 0.000 0.000
2.438 4.223 0.000
2.438 1.408 3.981
Pm Y Ru
1 1 2
direct
0.000 0.000 0.000
0.500 0.500 0.500
0.750 0.750 0.750
0.250 0.250 0.250
```

Results
Uncorrected energy = -30.5 eV per cell
Energy relative to the lowest polymorph listed for this composition = 1 meV/atom

***

# 5
Compound: Pm2Y2Ru3
Source: Alexandria via LeMat-Bulk
Functional: PBE
Structure: optimized geometry

POSCAR file:
```
Pm2Y2Ru3
1.0
4.731 -0.002 -1.321
-2.551 4.202 -0.002
-0.248 -0.149 8.243
Pm Ru Y
2 3 2
direct
0.751 0.876 0.625
0.249 0.124 0.375
0.000 0.000 0.000
0.496 0.748 0.245
0.504 0.252 0.755
0.251 0.625 0.876
0.749 0.375 0.124
```

Results
Uncorrected energy = -51.6 eV per cell

***

# 6
Compound: Pm3Y2Ru2
Source: Alexandria via LeMat-Bulk
Functional: PBE
Structure: optimized geometry

POSCAR file:
```
Pm3Y2Ru2
1.0
-0.599 -1.177 3.730
6.164 1.487 -0.639
-4.957 6.951 1.396
Y Ru Pm
2 2 3
direct
0.168 0.337 0.814
0.832 0.663 0.186
0.819 0.639 0.776
0.181 0.361 0.224
0.500 0.000 0.000
0.620 0.240 0.429
0.380 0.760 0.571
```

Results
Uncorrected energy = -47.5 eV per cell

***

# 7
Compound: Pm2YRu
Source: Alexandria via LeMat-Bulk
Functional: PBE
Structure: optimized geometry

POSCAR file:
```
Pm2YRu
1.0
4.032 0.000 0.000
-2.016 6.017 0.000
0.000 0.000 9.277
Ru Pm Y
2 4 2
direct
0.258 0.516 0.250
0.742 0.484 0.750
0.358 0.717 0.568
0.358 0.717 0.932
0.642 0.283 0.068
0.642 0.283 0.432
0.921 0.843 0.250
0.079 0.157 0.750
```

Results
Uncorrected energy = -52.2 eV per cell
Energy relative to the lowest polymorph listed for this composition = 21 meV/atom

***

# 8
Compound: PmYRu
Source: Alexandria via LeMat-Bulk
Functional: PBE
Structure: optimized geometry

POSCAR file:
```
PmYRu
1.0
3.474 0.000 -0.738
0.000 5.313 0.000
-0.066 0.000 8.228
Y Pm Ru
2 2 2
direct
0.209 0.250 0.419
0.791 0.750 0.581
0.929 0.250 0.858
0.071 0.750 0.142
0.425 0.750 0.851
0.575 0.250 0.149
```

Results
Uncorrected energy = -41.9 eV per cell
Energy relative to the lowest polymorph listed for this composition = 49 meV/atom

***

# 9
Compound: Pm4YRu
Source: Alexandria via LeMat-Bulk
Functional: PBE
Structure: optimized geometry

POSCAR file:
```
Pm4YRu
1.0
-4.643 0.956 3.841
-4.285 -4.683 -4.015
6.995 -4.408 4.701
Y Pm Ru
2 8 2
direct
0.800 0.800 0.600
0.200 0.200 0.400
0.000 0.793 0.000
0.172 0.672 0.343
0.000 0.207 0.000
0.614 0.365 0.228
0.828 0.328 0.657
0.386 0.137 0.772
0.386 0.635 0.772
0.614 0.863 0.228
0.740 0.500 0.999
0.260 0.500 0.001
```

Results
Uncorrected energy = -70.1 eV per cell

***

# 10
Compound: Pm2Y3Ru2
Source: Alexandria via LeMat-Bulk
Functional: PBE
Structure: optimized geometry

POSCAR file:
```
Pm2Y3Ru2
1.0
3.869 0.000 0.000
-1.935 6.074 -0.353
0.000 -3.261 8.209
Y Pm Ru
3 2 2
direct
0.622 0.243 0.425
0.500 0.000 0.000
0.378 0.757 0.575
0.166 0.331 0.804
0.834 0.669 0.196
0.179 0.358 0.230
0.821 0.642 0.770
```

Results
Uncorrected energy = -49.4 eV per cell

***

# 11
Compound: Pm2YRu2
Source: Alexandria via LeMat-Bulk
Functional: PBE
Structure: optimized geometry

POSCAR file:
```
Pm2YRu2
1.0
4.220 0.000 0.000
0.000 5.629 -0.804
0.000 -3.196 11.355
Pm Ru Y
4 4 2
direct
0.750 0.718 0.464
0.250 0.282 0.536
0.750 0.217 0.127
0.250 0.783 0.873
0.250 0.361 0.992
0.750 0.120 0.358
0.250 0.880 0.642
0.750 0.639 0.008
0.750 0.185 0.786
0.250 0.815 0.214
```

Results
Uncorrected energy = -70.5 eV per cell

***

# 12
Compound: PmY3Ru
Source: Alexandria via LeMat-Bulk
Functional: PBE
Structure: optimized geometry

POSCAR file:
```
PmY3Ru
1.0
5.422 0.000 0.000
0.000 5.422 0.000
0.000 0.000 5.422
Pm Y Ru
1 3 1
direct
0.500 0.500 0.500
0.000 0.500 0.000
0.000 0.000 0.500
0.500 0.000 0.000
0.000 0.000 0.000
```

Results
Uncorrected energy = -33.8 eV per cell
Energy relative to the lowest polymorph listed for this composition = 115 meV/atom

***

# 13
Compound: PmY3Ru2
Source: Alexandria via LeMat-Bulk
Functional: PBE
Structure: optimized geometry

POSCAR file:
```
PmY3Ru2
1.0
6.790 0.000 0.000
0.000 7.069 0.000
-3.395 -3.534 6.804
Ru Pm Y
4 2 6
direct
0.410 0.634 0.267
0.858 0.134 0.267
0.142 0.866 0.733
0.590 0.366 0.733
0.000 0.500 0.000
0.000 0.000 0.000
0.500 0.250 0.000
0.238 0.488 0.476
0.500 0.750 0.000
0.762 0.012 0.524
0.762 0.512 0.524
0.238 0.988 0.476
```

Results
Uncorrected energy = -87.7 eV per cell

***

# 14
Compound: Pm2YRu
Source: Alexandria via LeMat-Bulk
Functional: PBE
Structure: optimized geometry

POSCAR file:
```
Pm2YRu
1.0
3.596 0.000 0.000
1.798 3.114 0.000
1.798 1.038 10.694
Pm Ru Y
2 1 1
direct
0.107 0.107 0.679
0.893 0.893 0.321
0.500 0.500 0.500
0.000 0.000 0.000
```

Results
Uncorrected energy = -24.5 eV per cell
Energy relative to the lowest polymorph listed for this composition = 422 meV/atom

***

# 15
Compound: Pm2YRu
Source: Alexandria via LeMat-Bulk
Functional: PBE
Structure: optimized geometry

POSCAR file:
```
Pm2YRu
1.0
-5.734 0.287 -2.754
-1.532 -6.787 2.481
-3.655 3.749 8.000
Pm Y Ru
8 4 4
direct
0.331 0.177 0.065
0.831 0.323 0.565
0.669 0.823 0.565
0.169 0.677 0.065
0.169 0.677 0.435
0.831 0.323 0.935
0.331 0.177 0.435
0.669 0.823 0.935
0.859 0.042 0.250
0.641 0.542 0.250
0.141 0.958 0.750
0.359 0.458 0.750
0.953 0.615 0.750
0.547 0.115 0.750
0.047 0.385 0.250
0.453 0.885 0.250
```

Results
Uncorrected energy = -104.8 eV per cell
Energy relative to the lowest polymorph listed for this composition = 0 meV/atom

***

# 16
Compound: PmY3Ru8
Source: Alexandria via LeMat-Bulk
Functional: PBE
Structure: optimized geometry

POSCAR file:
```
PmY3Ru8
1.0
5.123 0.000 1.547
2.328 4.564 1.547
-0.017 -0.011 9.316
Pm Ru Y
1 8 3
direct
0.874 0.874 0.378
0.440 0.934 0.186
0.690 0.690 0.930
0.940 0.429 0.691
0.190 0.190 0.430
0.934 0.440 0.186
0.940 0.940 0.691
0.429 0.940 0.691
0.440 0.440 0.186
0.999 0.999 0.003
0.499 0.499 0.503
0.374 0.374 0.877
```

Results
Uncorrected energy = -101.4 eV per cell

***

# 17
Compound: Pm4Y3Ru4
Source: Alexandria via LeMat-Bulk
Functional: PBE
Structure: optimized geometry

POSCAR file:
```
Pm4Y3Ru4
1.0
-2.673 -1.551 -1.761
5.324 -6.903 -2.000
-3.713 0.345 8.924
Ru Y Pm
4 3 4
direct
0.500 0.225 0.000
0.736 0.236 0.473
0.264 0.764 0.527
0.500 0.775 0.000
0.905 0.905 0.810
0.000 0.500 0.000
0.095 0.095 0.190
0.664 0.472 0.327
0.664 0.856 0.327
0.336 0.528 0.673
0.336 0.144 0.673
```

Results
Uncorrected energy = -77.6 eV per cell

***

# 18
Compound: Pm2YRu
Source: Alexandria via LeMat-Bulk
Functional: PBE
Structure: optimized geometry

POSCAR file:
```
Pm2YRu
1.0
-3.184 -1.439 0.009
0.891 -1.988 -2.732
2.995 -6.592 5.773
Pm Y Ru
2 1 1
direct
0.000 0.000 0.816
0.000 0.000 0.184
0.500 0.500 0.500
0.500 0.500 0.000
```

Results
Uncorrected energy = -25.5 eV per cell
Energy relative to the lowest polymorph listed for this composition = 176 meV/atom

***

# 19
Compound: Pm4YRu2
Source: Alexandria via LeMat-Bulk
Functional: PBE
Structure: optimized geometry

POSCAR file:
```
Pm4YRu2
1.0
-0.474 5.037 -4.121
-5.842 -3.718 -3.872
-2.724 4.597 5.932
Ru Pm Y
4 8 2
direct
0.750 0.374 0.408
0.250 0.626 0.592
0.750 0.745 0.017
0.250 0.255 0.983
0.498 0.588 0.241
0.750 0.760 0.680
0.502 0.412 0.759
0.250 0.240 0.320
0.002 0.588 0.241
0.250 0.977 0.625
0.998 0.412 0.759
0.750 0.023 0.375
0.250 0.837 0.970
0.750 0.163 0.030
```

Results
Uncorrected energy = -90.0 eV per cell

***

# 20
Compound: PmYRu
Source: Alexandria via LeMat-Bulk
Functional: PBE
Structure: optimized geometry

POSCAR file:
```
PmYRu
1.0
-4.508 1.131 1.272
-1.557 -4.193 -1.792
-2.032 -4.525 5.906
Pm Ru Y
2 2 2
direct
0.904 0.344 0.108
0.404 0.844 0.108
0.528 0.469 0.861
0.280 0.220 0.356
0.654 0.094 0.609
0.154 0.595 0.609
```

Results
Uncorrected energy = -41.8 eV per cell
Energy relative to the lowest polymorph listed for this composition = 75 meV/atom

***

no.,Fermi-level density of states (states/eV per atom)
1,1.186
2,0.887
3,0.688
4,0.952
5,0.833
6,0.813
7,0.768
8,0.895
9,1.390
10,0.722
11,0.870
12,1.583
13,0.413
14,1.520
15,0.959
16,1.250
17,0.614
18,1.297
19,1.015
20,0.652